#A
{"formula": "SmHoGaCo", "functional": "PBE", "state": "optimized geometry", "space_group": "F-43m", "lattice": [[7.026, 0.000, 0.000], [0.000, 7.026, 0.000], [0.000, 0.000, 7.026]], "species": ["Sm", "Sm", "Sm", "Sm", "Ho", "Ho", "Ho", "Ho", "Ga", "Ga", "Ga", "Ga", "Co", "Co", "Co", "Co"], "frac_coords": [[0.000, 0.000, 0.000], [0.000, 0.500, 0.500], [0.500, 0.000, 0.500], [0.500, 0.500, 0.000], [0.000, 0.000, 0.500], [0.000, 0.500, 0.000], [0.500, 0.000, 0.000], [0.500, 0.500, 0.500], [0.250, 0.250, 0.250], [0.250, 0.750, 0.750], [0.750, 0.250, 0.750], [0.750, 0.750, 0.250], [0.250, 0.250, 0.750], [0.250, 0.750, 0.250], [0.750, 0.250, 0.250], [0.750, 0.750, 0.750]]}

#B
{"formula": "SmHoGaCo", "functional": "PBE", "state": "optimized geometry", "space_group": "Amm2", "lattice": [[4.195, 0.000, 0.000], [0.000, 4.052, 0.000], [0.000, 0.000, 10.479]], "species": ["Sm", "Sm", "Ho", "Ho", "Ga", "Ga", "Co", "Co"], "frac_coords": [[0.000, 0.000, 0.000], [0.000, 0.500, 0.500], [0.500, 0.000, 0.716], [0.500, 0.500, 0.216], [0.500, 0.000, 0.417], [0.500, 0.500, 0.917], [0.000, 0.000, 0.288], [0.000, 0.500, 0.788]]}

Of them, #A has the lowest stability.

#A
{"formula": "GaCoI2", "functional": "PBE", "state": "optimized geometry", "space_group": "Fm-3m", "lattice": [[7.482, 0.000, 0.000], [0.000, 7.482, 0.000], [0.000, 0.000, 7.482]], "species": ["Ga", "Ga", "Ga", "Ga", "Co", "Co", "Co", "Co", "I", "I", "I", "I", "I", "I", "I", "I"], "frac_coords": [[0.000, 0.000, 0.000], [0.000, 0.500, 0.500], [0.500, 0.000, 0.500], [0.500, 0.500, 0.000], [0.000, 0.000, 0.500], [0.000, 0.500, 0.000], [0.500, 0.000, 0.000], [0.500, 0.500, 0.500], [0.250, 0.250, 0.250], [0.250, 0.250, 0.750], [0.250, 0.750, 0.250], [0.250, 0.750, 0.750], [0.750, 0.250, 0.250], [0.750, 0.250, 0.750], [0.750, 0.750, 0.250], [0.750, 0.750, 0.750]]}

#B
{"formula": "GaCoI2", "functional": "PBE", "state": "optimized geometry", "space_group": "I-42d", "lattice": [[7.766, 0.000, 0.000], [0.000, 7.766, 0.000], [0.000, 0.000, 8.098]], "species": ["Ga", "Ga", "Ga", "Ga", "Co", "Co", "Co", "Co", "I", "I", "I", "I", "I", "I", "I", "I"], "frac_coords": [[0.000, 0.000, 0.000], [0.000, 0.500, 0.250], [0.500, 0.000, 0.750], [0.500, 0.500, 0.500], [0.000, 0.000, 0.500], [0.000, 0.500, 0.750], [0.500, 0.000, 0.250], [0.500, 0.500, 0.000], [0.174, 0.750, 0.625], [0.250, 0.174, 0.375], [0.250, 0.326, 0.875], [0.326, 0.750, 0.125], [0.674, 0.250, 0.125], [0.750, 0.674, 0.875], [0.750, 0.826, 0.375], [0.826, 0.250, 0.625]]}

Of them, #A has the lowest stability.